Below is an optimized crystal structure of ThMgRh3, with properties calculated at the GGA-PBE level.

Results
- electronic total energy (eV per atom) = -6.642
- space-group type = Cmcm
- formation enthalpy at 0 K (meV per atom) = -427.9
- DOS at the Fermi energy (states/eV/cell) = 3.47
- magnetic moment (μB per cell) = 0.00

Cell: 5.014 6.492 6.492 Å, 119.83 90.00 90.00°
Element x y z (fractional)
Rh 0.250 0.388 0.195
Rh 0.750 0.612 0.805
Rh 0.750 0.194 0.806
Rh 0.250 0.805 0.612
Rh 0.250 0.806 0.194
Rh 0.750 0.195 0.388
Th 0.250 0.333 0.667
Th 0.750 0.667 0.333
Mg 0.000 0.000 0.000
Mg 0.500 0.000 0.000